DFT (PBE-GGA) results for a geometry-optimized Nd6PRu2Cl3 structure.

Size of the total moment: 0.00 μB/f.u.
ΔE_f (raw): -1.0958 eV/atom
N(E_F): 9.70 states/eV per cell
Mass density: 6.1 g/cm³

Unit cell a=7.162 b=7.162 c=7.760 alpha=98.90 beta=98.90 gamma=120.01
Fractional positions:
Cl 0.163 0.837 0.500
Ru 0.333 0.667 0.000
Nd 0.276 0.276 0.793
Nd 0.588 0.932 0.793
Cl 0.837 0.163 0.500
Nd 0.068 0.412 0.207
Nd 0.724 0.724 0.207
P 0.000 0.000 0.000
Nd 0.932 0.588 0.793
Ru 0.667 0.333 0.000
Nd 0.412 0.068 0.207
Cl 0.500 0.500 0.500